No. 1
Crystalline Cs2KAuF6 at its relaxed geometry, computed with GGA-PBEsol.

a = 6.5263 Å, b = 6.5263 Å, c = 6.5263 Å
α = 60.00°, β = 60.00°, γ = 60.00°
Closest atoms and distances in Å follow each position.
Positions (direct):
Au1 0.0000 0.0000 0.0000  6 F 2.12
F1 0.2293 0.2293 0.7707  1 Au 2.12
F2 0.7707 0.2293 0.7707  1 Au 2.12
F3 0.7707 0.7707 0.2293  1 Au 2.12
K1 0.5000 0.5000 0.5000  6 F 2.50
F4 0.2293 0.7707 0.7707  1 Au 2.12
F5 0.7707 0.2293 0.2293  1 Au 2.12
Cs1 0.2500 0.2500 0.2500  12 F 3.27
Cs2 0.7500 0.7500 0.7500  12 F 3.27
F6 0.2293 0.7707 0.2293  1 Au 2.12

Results
The uncorrected formation energy is -2.11 eV/atom. For the electronic total energy, the calculation gives -3.96 eV per atom.

=====

No. 2
Crystalline ScReAg at its relaxed geometry, computed with GGA-PBEsol.

a = 2.7024 Å, b = 4.1969 Å, c = 5.0861 Å
α = 114.37°, β = 105.41°, γ = 90.00°
Closest atoms and distances in Å follow each position.
Positions (direct):
Ag1 0.0023 0.0023 0.0047  2 Ag 2.70, 5 Sc 2.88-2.94, 5 Re 2.91-2.94
Re1 0.6703 0.6703 0.3407  2 Re 2.70, 4 Sc 2.86, 5 Ag 2.91-2.94
Sc1 0.3273 0.3273 0.6547  2 Sc 2.70, 4 Re 2.86, 5 Ag 2.88-2.94

Results
For the electronic total energy, the calculation gives -7.46 eV per atom. As for the formation energy: 0.29 eV per atom.

=====

Copy entry 2 word for word.
Crystalline ScReAg at its relaxed geometry, computed with GGA-PBEsol.

a = 2.7024 Å, b = 4.1969 Å, c = 5.0861 Å
α = 114.37°, β = 105.41°, γ = 90.00°
Closest atoms and distances in Å follow each position.
Positions (direct):
Ag1 0.0023 0.0023 0.0047  2 Ag 2.70, 5 Sc 2.88-2.94, 5 Re 2.91-2.94
Re1 0.6703 0.6703 0.3407  2 Re 2.70, 4 Sc 2.86, 5 Ag 2.91-2.94
Sc1 0.3273 0.3273 0.6547  2 Sc 2.70, 4 Re 2.86, 5 Ag 2.88-2.94

Results
For the electronic total energy, the calculation gives -7.46 eV per atom. As for the formation energy: 0.29 eV per atom.